An optimized crystal structure of Rb14Au6O3, computed with PBE.

Cell lengths 12.502, 12.502, 7.412 Å; angles 90.00, 90.00, 120.00 degrees
Fractional coordinates of all 23 atoms:
Rb: 0.000 0.000 0.000
Rb: 0.077 0.864 0.513
Rb: 0.136 0.213 0.513
Rb: 0.190 0.453 0.015
Rb: 0.263 0.810 0.015
Rb: 0.333 0.667 0.499
Rb: 0.455 0.197 0.717
Rb: 0.534 0.411 0.297
Rb: 0.547 0.737 0.015
Rb: 0.589 0.122 0.297
Rb: 0.742 0.545 0.717
Rb: 0.787 0.923 0.513
Rb: 0.803 0.258 0.717
Rb: 0.878 0.466 0.297
Au: 0.042 0.576 0.719
Au: 0.299 0.100 0.217
Au: 0.424 0.465 0.719
Au: 0.535 0.958 0.719
Au: 0.801 0.701 0.217
Au: 0.900 0.199 0.217
O: 0.000 0.000 0.655
O: 0.333 0.667 0.153
O: 0.667 0.333 0.508

Properties
As for the uncorrected formation energy: -11.70 eV per formula unit. The magnetic moment comes out at 0.598 μB/f.u. The space-group type is No. 143.


An optimized crystal structure of Li2PaIn, computed with PBE.

Cell lengths 4.844, 4.844, 4.844 Å; angles 60.00, 60.00, 60.00 degrees
Fractional coordinates of all 4 atoms:
Li: 0.250 0.250 0.250
Li: 0.750 0.750 0.750
Pa: 0.000 0.000 0.000
In: 0.500 0.500 0.500

Properties
The calculation puts the excess energy over the best structure of this formula in the dataset at 10 kJ/mol of formula units. The magnetic moment comes out at 1.255 μB/f.u. The energy of formation is 0.7 eV per formula unit. The space-group type is No. 225.


An optimized crystal structure of Na7LiHg4, computed with PBE.

Cell lengths 5.920, 6.178, 9.524 Å; angles 71.29, 87.68, 89.82 degrees
Fractional coordinates of all 12 atoms:
Na: 0.000 0.000 0.000
Na: 0.168 0.821 0.359
Na: 0.239 0.451 0.100
Na: 0.345 0.270 0.461
Na: 0.655 0.730 0.539
Na: 0.761 0.549 0.900
Na: 0.832 0.179 0.641
Li: 0.500 0.000 0.000
Hg: 0.296 0.375 0.765
Hg: 0.297 0.860 0.764
Hg: 0.703 0.140 0.236
Hg: 0.704 0.625 0.235

Properties
The magnetic moment comes out at 0.000 μB/f.u. The energy of formation is -1.9 eV per formula unit. The space-group type is No. 2.


Number 1: DOS(E_F) 9.6 states/eV/cell. Number 2: DOS(E_F) 5.4 states/eV/cell. Number 3: DOS(E_F) 3.3 states/eV/cell.